Record 1
# Tm8CdRh2

An optimized crystal structure of Tm8CdRh2 (PBE-GGA, Alexandria via LeMat-Bulk).

Results
Formation energy from the elements: -0.366 eV per atom
Calculated total energy: -55.42 eV/cell
Space group: C2/m (12)
Magnetic moment: 0.00 μB/atom

Geometry as CIF:
```
data_Tm8CdRh2
_chemical_formula_sum 'Tm8 Cd1 Rh2'
_cell_length_a 5.3966
_cell_length_b 7.8092
_cell_length_c 7.8092
_cell_angle_alpha 113.63
_cell_angle_beta 97.57
_cell_angle_gamma 97.57
_space_group_name_H-M_alt 'P 1'
_space_group_IT_number 1
loop_
_space_group_symop_operation_xyz
'x,y,z'
loop_
_atom_site_label
_atom_site_type_symbol
_atom_site_fract_x
_atom_site_fract_y
_atom_site_fract_z
Tm1 Tm 0.9188 0.9287 0.6700
Tm2 Tm 0.9188 0.6700 0.9287
Tm3 Tm 0.3049 0.6154 0.6154
Tm4 Tm 0.5000 0.7538 0.2462
Tm5 Tm 0.5000 0.2462 0.7538
Tm6 Tm 0.6951 0.3846 0.3846
Tm7 Tm 0.0812 0.3300 0.0713
Tm8 Tm 0.0812 0.0713 0.3300
Cd1 Cd 0.5000 0.0000 0.0000
Rh1 Rh 0.0000 0.3077 0.6923
Rh2 Rh 0.0000 0.6923 0.3077
```

Record 2
# Tm3Cd2Rh

An optimized crystal structure of Tm3Cd2Rh (PBE-GGA, Alexandria via LeMat-Bulk).

Results
Formation energy from the elements: -0.530 eV per atom
Calculated total energy: -51.56 eV/cell
Space group: Cmmm (65)
Magnetic moment: 0.00 μB/atom

Geometry as CIF:
```
data_Tm3Cd2Rh
_chemical_formula_sum 'Tm6 Cd4 Rh2'
_cell_length_a 7.8576
_cell_length_b 7.8576
_cell_length_c 7.4770
_cell_angle_alpha 90.00
_cell_angle_beta 90.00
_cell_angle_gamma 143.01
_space_group_name_H-M_alt 'P 1'
_space_group_IT_number 1
loop_
_space_group_symop_operation_xyz
'x,y,z'
loop_
_atom_site_label
_atom_site_type_symbol
_atom_site_fract_x
_atom_site_fract_y
_atom_site_fract_z
Tm1 Tm 0.8258 0.1742 0.7779
Tm2 Tm 0.5000 0.5000 0.2331
Tm3 Tm 0.1742 0.8258 0.2221
Tm4 Tm 0.8258 0.1742 0.2221
Tm5 Tm 0.1742 0.8258 0.7779
Tm6 Tm 0.5000 0.5000 0.7669
Cd1 Cd 0.0000 0.0000 0.0000
Cd2 Cd 0.0000 0.0000 0.5000
Cd3 Cd 0.3342 0.6658 0.5000
Cd4 Cd 0.6658 0.3342 0.5000
Rh1 Rh 0.3391 0.6609 0.0000
Rh2 Rh 0.6609 0.3391 0.0000
```

Record 3
# TmCd3Rh4

An optimized crystal structure of TmCd3Rh4 (PBE-GGA, Alexandria via LeMat-Bulk).

Results
Formation energy from the elements: -0.355 eV per atom
Calculated total energy: -39.47 eV/cell
Space group: R-3m (166)
Magnetic moment: 0.00 μB/atom

Geometry as CIF:
```
data_TmCd3Rh4
_chemical_formula_sum 'Tm1 Cd3 Rh4'
_cell_length_a 4.6096
_cell_length_b 4.6096
_cell_length_c 7.9806
_cell_angle_alpha 73.21
_cell_angle_beta 73.21
_cell_angle_gamma 60.00
_space_group_name_H-M_alt 'P 1'
_space_group_IT_number 1
loop_
_space_group_symop_operation_xyz
'x,y,z'
loop_
_atom_site_label
_atom_site_type_symbol
_atom_site_fract_x
_atom_site_fract_y
_atom_site_fract_z
Tm1 Tm 0.0000 0.0000 0.0000
Rh1 Rh 0.8750 0.8750 0.3749
Rh2 Rh 0.3757 0.3757 0.8730
Rh3 Rh 0.1250 0.1250 0.6251
Rh4 Rh 0.6243 0.6243 0.1270
Cd1 Cd 0.2491 0.2491 0.2528
Cd2 Cd 0.7509 0.7509 0.7472
Cd3 Cd 0.5000 0.5000 0.5000
```

Record 4
# Tm6CdRh5

An optimized crystal structure of Tm6CdRh5 (PBE-GGA, Alexandria via LeMat-Bulk).

Results
Formation energy from the elements: -0.826 eV per atom
Calculated total energy: -74.41 eV/cell
Space group: C2/m (12)
Magnetic moment: 0.00 μB/atom

Geometry as CIF:
```
data_Tm6CdRh5
_chemical_formula_sum 'Tm6 Cd1 Rh5'
_cell_length_a 4.8444
_cell_length_b 6.8784
_cell_length_c 8.3757
_cell_angle_alpha 114.25
_cell_angle_beta 106.55
_cell_angle_gamma 90.00
_space_group_name_H-M_alt 'P 1'
_space_group_IT_number 1
loop_
_space_group_symop_operation_xyz
'x,y,z'
loop_
_atom_site_label
_atom_site_type_symbol
_atom_site_fract_x
_atom_site_fract_y
_atom_site_fract_z
Tm1 Tm 0.8273 0.5713 0.6553
Tm2 Tm 0.8273 0.0840 0.6554
Tm3 Tm 0.5000 0.7357 0.0000
Tm4 Tm 0.5000 0.2643 0.0000
Tm5 Tm 0.1727 0.9160 0.3446
Tm6 Tm 0.1727 0.4287 0.3447
Rh1 Rh 0.6632 0.1638 0.3278
Rh2 Rh 0.3330 0.3331 0.6662
Rh3 Rh 0.0000 0.5000 0.0000
Rh4 Rh 0.6670 0.6669 0.3338
Rh5 Rh 0.3368 0.8362 0.6722
Cd1 Cd 0.0000 0.0000 0.0000
```

Record 5
# Tm4CdRh2

An optimized crystal structure of Tm4CdRh2 (PBE-GGA, Alexandria via LeMat-Bulk).

Results
Formation energy from the elements: -0.560 eV per atom
Calculated total energy: -37.42 eV/cell
Space group: P4/mmm (123)
Magnetic moment: 0.00 μB/atom
Polymorph energy (0 for the lowest one): 10 meV/atom

Geometry as CIF:
```
data_Tm4CdRh2
_chemical_formula_sum 'Tm4 Cd1 Rh2'
_cell_length_a 4.8509
_cell_length_b 4.8509
_cell_length_c 6.9605
_cell_angle_alpha 90.00
_cell_angle_beta 90.00
_cell_angle_gamma 90.00
_space_group_name_H-M_alt 'P 1'
_space_group_IT_number 1
loop_
_space_group_symop_operation_xyz
'x,y,z'
loop_
_atom_site_label
_atom_site_type_symbol
_atom_site_fract_x
_atom_site_fract_y
_atom_site_fract_z
Tm1 Tm 0.5000 0.0000 0.2608
Tm2 Tm 0.0000 0.5000 0.7392
Tm3 Tm 0.5000 0.0000 0.7392
Tm4 Tm 0.0000 0.5000 0.2608
Cd1 Cd 0.5000 0.5000 0.0000
Rh1 Rh 0.0000 0.0000 0.0000
Rh2 Rh 0.5000 0.5000 0.5000
```

Record 6
# Tm4Cd3Rh

An optimized crystal structure of Tm4Cd3Rh (PBE-GGA, Alexandria via LeMat-Bulk).

Results
Formation energy from the elements: -0.476 eV per atom
Calculated total energy: -31.79 eV/cell
Space group: P4/mmm (123)
Magnetic moment: 0.00 μB/atom

Geometry as CIF:
```
data_Tm4Cd3Rh
_chemical_formula_sum 'Tm4 Cd3 Rh1'
_cell_length_a 3.5334
_cell_length_b 3.5334
_cell_length_c 15.1813
_cell_angle_alpha 90.00
_cell_angle_beta 90.00
_cell_angle_gamma 90.00
_space_group_name_H-M_alt 'P 1'
_space_group_IT_number 1
loop_
_space_group_symop_operation_xyz
'x,y,z'
loop_
_atom_site_label
_atom_site_type_symbol
_atom_site_fract_x
_atom_site_fract_y
_atom_site_fract_z
Tm1 Tm 0.0000 0.0000 0.8950
Tm2 Tm 0.0000 0.0000 0.1050
Tm3 Tm 0.0000 0.0000 0.3708
Tm4 Tm 0.0000 0.0000 0.6292
Rh1 Rh 0.5000 0.5000 0.0000
Cd1 Cd 0.5000 0.5000 0.2417
Cd2 Cd 0.5000 0.5000 0.5000
Cd3 Cd 0.5000 0.5000 0.7583
```

Record 7
# Tm2CdRh

An optimized crystal structure of Tm2CdRh (PBE-GGA, Alexandria via LeMat-Bulk).

Results
Formation energy from the elements: -0.662 eV per atom
Calculated total energy: -19.86 eV/cell
Space group: P4/mmm (123)
Magnetic moment: 0.00 μB/atom
Polymorph energy (0 for the lowest one): 0 meV/atom

Geometry as CIF:
```
data_Tm2CdRh
_chemical_formula_sum 'Tm2 Cd1 Rh1'
_cell_length_a 3.4593
_cell_length_b 3.4593
_cell_length_c 7.4594
_cell_angle_alpha 90.00
_cell_angle_beta 90.00
_cell_angle_gamma 90.00
_space_group_name_H-M_alt 'P 1'
_space_group_IT_number 1
loop_
_space_group_symop_operation_xyz
'x,y,z'
loop_
_atom_site_label
_atom_site_type_symbol
_atom_site_fract_x
_atom_site_fract_y
_atom_site_fract_z
Tm1 Tm 0.0000 0.0000 0.7830
Tm2 Tm 0.0000 0.0000 0.2170
Rh1 Rh 0.5000 0.5000 0.0000
Cd1 Cd 0.5000 0.5000 0.5000
```

Record 8
# Tm2CdRh

An optimized crystal structure of Tm2CdRh (PBE-GGA, Alexandria via LeMat-Bulk).

Results
Formation energy from the elements: -0.565 eV per atom
Calculated total energy: -19.47 eV/cell
Space group: Fm-3m (225)
Magnetic moment: 0.00 μB/atom
Polymorph energy (0 for the lowest one): 98 meV/atom

Geometry as CIF:
```
data_Tm2CdRh
_chemical_formula_sum 'Tm2 Cd1 Rh1'
_cell_length_a 4.9853
_cell_length_b 4.9853
_cell_length_c 4.9853
_cell_angle_alpha 60.00
_cell_angle_beta 60.00
_cell_angle_gamma 60.00
_space_group_name_H-M_alt 'P 1'
_space_group_IT_number 1
loop_
_space_group_symop_operation_xyz
'x,y,z'
loop_
_atom_site_label
_atom_site_type_symbol
_atom_site_fract_x
_atom_site_fract_y
_atom_site_fract_z
Tm1 Tm 0.2500 0.2500 0.2500
Tm2 Tm 0.7500 0.7500 0.7500
Rh1 Rh 0.0000 0.0000 0.0000
Cd1 Cd 0.5000 0.5000 0.5000
```

Record 9
# Tm5Cd4Rh

An optimized crystal structure of Tm5Cd4Rh (PBE-GGA, Alexandria via LeMat-Bulk).

Results
Formation energy from the elements: -0.441 eV per atom
Calculated total energy: -37.78 eV/cell
Space group: P4/mmm (123)
Magnetic moment: 0.00 μB/atom

Geometry as CIF:
```
data_Tm5Cd4Rh
_chemical_formula_sum 'Tm5 Cd4 Rh1'
_cell_length_a 3.5639
_cell_length_b 3.5639
_cell_length_c 18.8494
_cell_angle_alpha 90.00
_cell_angle_beta 90.00
_cell_angle_gamma 90.00
_space_group_name_H-M_alt 'P 1'
_space_group_IT_number 1
loop_
_space_group_symop_operation_xyz
'x,y,z'
loop_
_atom_site_label
_atom_site_type_symbol
_atom_site_fract_x
_atom_site_fract_y
_atom_site_fract_z
Tm1 Tm 0.5000 0.5000 0.0842
Tm2 Tm 0.5000 0.5000 0.2943
Tm3 Tm 0.5000 0.5000 0.5000
Tm4 Tm 0.5000 0.5000 0.7057
Tm5 Tm 0.5000 0.5000 0.9158
Cd1 Cd 0.0000 0.0000 0.1922
Cd2 Cd 0.0000 0.0000 0.3971
Cd3 Cd 0.0000 0.0000 0.6029
Cd4 Cd 0.0000 0.0000 0.8078
Rh1 Rh 0.0000 0.0000 0.0000
```

Record 10
# Tm4CdRh2

An optimized crystal structure of Tm4CdRh2 (PBE-GGA, Alexandria via LeMat-Bulk).

Results
Formation energy from the elements: -0.570 eV per atom
Calculated total energy: -37.49 eV/cell
Space group: R-3m (166)
Magnetic moment: 0.00 μB/atom
Polymorph energy (0 for the lowest one): 0 meV/atom

Geometry as CIF:
```
data_Tm4CdRh2
_chemical_formula_sum 'Tm4 Cd1 Rh2'
_cell_length_a 4.4694
_cell_length_b 4.4694
_cell_length_c 10.5532
_cell_angle_alpha 77.77
_cell_angle_beta 77.77
_cell_angle_gamma 60.00
_space_group_name_H-M_alt 'P 1'
_space_group_IT_number 1
loop_
_space_group_symop_operation_xyz
'x,y,z'
loop_
_atom_site_label
_atom_site_type_symbol
_atom_site_fract_x
_atom_site_fract_y
_atom_site_fract_z
Tm1 Tm 0.7010 0.7010 0.8970
Tm2 Tm 0.8918 0.8918 0.3246
Tm3 Tm 0.2990 0.2990 0.1030
Tm4 Tm 0.1082 0.1082 0.6754
Cd1 Cd 0.5000 0.5000 0.5000
Rh1 Rh 0.5973 0.5973 0.2080
Rh2 Rh 0.4027 0.4027 0.7920
```

Record 11
# Tm3Cd3Rh

An optimized crystal structure of Tm3Cd3Rh (PBE-GGA, Alexandria via LeMat-Bulk).

Results
Formation energy from the elements: -0.457 eV per atom
Calculated total energy: -106.84 eV/cell
Space group: Fd-3m (227)
Magnetic moment: 0.00 μB/atom

Geometry as CIF:
```
data_Tm3Cd3Rh
_chemical_formula_sum 'Tm12 Cd12 Rh4'
_cell_length_a 9.8816
_cell_length_b 9.8816
_cell_length_c 9.8816
_cell_angle_alpha 60.00
_cell_angle_beta 60.00
_cell_angle_gamma 60.00
_space_group_name_H-M_alt 'P 1'
_space_group_IT_number 1
loop_
_space_group_symop_operation_xyz
'x,y,z'
loop_
_atom_site_label
_atom_site_type_symbol
_atom_site_fract_x
_atom_site_fract_y
_atom_site_fract_z
Tm1 Tm 0.0446 0.4554 0.0446
Tm2 Tm 0.2054 0.2054 0.7946
Tm3 Tm 0.7946 0.7946 0.2054
Tm4 Tm 0.7946 0.2054 0.7946
Tm5 Tm 0.7946 0.2054 0.2054
Tm6 Tm 0.2054 0.7946 0.7946
Tm7 Tm 0.4554 0.0446 0.0446
Tm8 Tm 0.0446 0.0446 0.4554
Tm9 Tm 0.4554 0.4554 0.0446
Tm10 Tm 0.0446 0.4554 0.4554
Tm11 Tm 0.2054 0.7946 0.2054
Tm12 Tm 0.4554 0.0446 0.4554
Cd1 Cd 0.8346 0.8346 0.8346
Cd2 Cd 0.4154 0.4154 0.7539
Cd3 Cd 0.4154 0.7539 0.4154
Cd4 Cd 0.7539 0.4154 0.4154
Cd5 Cd 0.8346 0.4961 0.8346
Cd6 Cd 0.4961 0.8346 0.8346
Cd7 Cd 0.8346 0.8346 0.4961
Cd8 Cd 0.4154 0.4154 0.4154
Cd9 Cd 0.6250 0.6250 0.6250
Cd10 Cd 0.6250 0.6250 0.1250
Cd11 Cd 0.6250 0.1250 0.6250
Cd12 Cd 0.1250 0.6250 0.6250
Rh1 Rh 0.1250 0.1250 0.1250
Rh2 Rh 0.1250 0.1250 0.6250
Rh3 Rh 0.1250 0.6250 0.1250
Rh4 Rh 0.6250 0.1250 0.1250
```

Record 12
# Tm4CdRh5

An optimized crystal structure of Tm4CdRh5 (PBE-GGA, Alexandria via LeMat-Bulk).

Results
Formation energy from the elements: -0.825 eV per atom
Calculated total energy: -63.81 eV/cell
Space group: P4/mmm (123)
Magnetic moment: 0.00 μB/atom

Geometry as CIF:
```
data_Tm4CdRh5
_chemical_formula_sum 'Tm4 Cd1 Rh5'
_cell_length_a 3.3713
_cell_length_b 3.3713
_cell_length_c 16.4705
_cell_angle_alpha 90.00
_cell_angle_beta 90.00
_cell_angle_gamma 90.00
_space_group_name_H-M_alt 'P 1'
_space_group_IT_number 1
loop_
_space_group_symop_operation_xyz
'x,y,z'
loop_
_atom_site_label
_atom_site_type_symbol
_atom_site_fract_x
_atom_site_fract_y
_atom_site_fract_z
Tm1 Tm 0.0000 0.0000 0.1916
Tm2 Tm 0.0000 0.0000 0.3973
Tm3 Tm 0.0000 0.0000 0.6027
Tm4 Tm 0.0000 0.0000 0.8084
Cd1 Cd 0.0000 0.0000 0.0000
Rh1 Rh 0.5000 0.5000 0.0973
Rh2 Rh 0.5000 0.5000 0.2973
Rh3 Rh 0.5000 0.5000 0.5000
Rh4 Rh 0.5000 0.5000 0.7027
Rh5 Rh 0.5000 0.5000 0.9027
```